4
Lattice="0.0000 3.6044 3.6044 3.6044 0.0000 3.6044 3.6044 3.6044 0.0000" Properties=species:S:1:pos:R:3 comment="Ba2CoB (PBE, relaxed)" final_energy_ev_per_atom=-3.24 space_group="F-43m (216)" pbc="T T T"
B 3.6044 3.6044 3.6044
Ba 0.0000 0.0000 0.0000
Ba 5.4066 5.4066 5.4066
Co 1.8022 1.8022 1.8022